A plane-wave DFT calculation with meta-GGA SCAN was carried out for K2LaAu at its PBEsol-relaxed geometry.

The structure in POSCAR format:
```
K2LaAu
1.0
3.906 0.000 0.000
0.000 3.906 0.000
0.000 0.000 10.822
K La Au
2 1 1
Cartesian
0.000 0.000 0.000 K
1.953 1.953 3.872 K
0.000 0.000 7.215 La
1.953 1.953 8.466 Au
```

Energy above the most stable polymorph in this dataset, kJ/mol of formula units: 0
Formation energy from the elements, eV per atom: -0.322

A plane-wave DFT calculation with meta-GGA SCAN was carried out for NaTc3Sn at its PBEsol-relaxed geometry.

The structure in POSCAR format:
```
NaTc3Sn
1.0
4.935 0.000 0.000
0.000 4.935 0.000
0.000 0.000 4.935
Na Tc Sn
1 3 1
Cartesian
0.000 0.000 0.000 Na
0.000 2.468 2.468 Tc
2.468 0.000 2.468 Tc
2.468 2.468 0.000 Tc
2.468 2.468 2.468 Sn
```

Energy above the most stable polymorph in this dataset, kJ/mol of formula units: 0
Formation energy from the elements, eV per atom: 2.000

A plane-wave DFT calculation with meta-GGA SCAN was carried out for Li2TaCl at its PBEsol-relaxed geometry.

The structure in POSCAR format:
```
Li2TaCl
1.0
6.717 0.000 0.000
0.000 6.717 0.000
0.000 0.000 6.717
Li Ta Cl
8 4 4
Cartesian
1.679 1.679 1.679 Li
1.679 1.679 5.038 Li
1.679 5.038 1.679 Li
1.679 5.038 5.038 Li
5.038 1.679 1.679 Li
5.038 1.679 5.038 Li
5.038 5.038 1.679 Li
5.038 5.038 5.038 Li
0.000 0.000 0.000 Ta
0.000 3.359 3.359 Ta
3.359 0.000 3.359 Ta
3.359 3.359 0.000 Ta
0.000 0.000 3.359 Cl
0.000 3.359 0.000 Cl
3.359 0.000 0.000 Cl
3.359 3.359 3.359 Cl
```

Energy above the most stable polymorph in this dataset, kJ/mol of formula units: 392
Formation energy without anion corrections, meV per atom: 934

A plane-wave DFT calculation with meta-GGA SCAN was carried out for Zr2TaCr2 at its PBEsol-relaxed geometry.

The structure in POSCAR format:
```
Zr2TaCr2
1.0
3.900 0.000 0.000
0.000 3.900 0.000
0.000 0.000 11.570
Zr Ta Cr
4 2 4
Cartesian
0.000 1.950 2.893 Zr
0.000 1.950 8.678 Zr
1.950 0.000 2.893 Zr
1.950 0.000 8.678 Zr
0.000 0.000 0.000 Ta
1.950 1.950 5.785 Ta
0.000 0.000 4.871 Cr
0.000 0.000 6.700 Cr
1.950 1.950 0.914 Cr
1.950 1.950 10.656 Cr
```

Formation energy from the elements, eV per atom: 0.702

A plane-wave DFT calculation with meta-GGA SCAN was carried out for CaHfMg2As at its PBEsol-relaxed geometry.

The structure in POSCAR format:
```
CaHfMg2As
1.0
5.464 0.000 0.000
0.000 5.464 0.000
0.000 0.000 5.026
Ca Hf Mg As
1 1 2 1
Cartesian
0.000 0.000 0.000 Ca
2.732 2.732 2.513 Hf
0.000 2.732 2.513 Mg
2.732 0.000 2.513 Mg
2.732 2.732 0.000 As
```

Formation energy from the elements, eV per atom: 0.238

A plane-wave DFT calculation with meta-GGA SCAN was carried out for Pb4SeBr at its PBEsol-relaxed geometry.

The structure in POSCAR format:
```
Pb4SeBr
1.0
0.000 4.469 4.469
4.469 0.000 4.469
4.469 4.469 0.000
Pb Se Br
4 1 1
Cartesian
1.115 1.115 1.115 Pb
3.354 3.354 1.115 Pb
3.354 1.115 3.354 Pb
1.115 3.354 3.354 Pb
6.704 6.704 6.704 Se
4.469 4.469 4.469 Br
```

Formation energy without anion corrections, meV per atom: 139

A plane-wave DFT calculation with meta-GGA SCAN was carried out for LiTi2ZnBi at its PBEsol-relaxed geometry.

The structure in POSCAR format:
```
LiTi2ZnBi
1.0
4.460 0.000 0.000
0.000 4.460 0.000
0.000 0.000 4.548
Li Ti Zn Bi
1 2 1 1
Cartesian
0.000 0.000 0.000 Li
0.000 2.230 0.000 Ti
2.230 0.000 0.000 Ti
2.230 2.230 2.274 Zn
0.000 0.000 2.274 Bi
```

Formation energy from the elements, eV per atom: 0.633

A plane-wave DFT calculation with meta-GGA SCAN was carried out for Ir2PtAu at its PBEsol-relaxed geometry.

The structure in POSCAR format:
```
Ir2PtAu
1.0
2.772 0.000 0.000
0.000 3.851 0.000
0.000 0.000 5.619
Ir Pt Au
2 1 1
Cartesian
0.000 0.000 0.000 Ir
1.386 1.925 1.226 Ir
0.000 0.000 2.656 Pt
1.386 1.925 4.103 Au
```

Energy above the most stable polymorph in this dataset, kJ/mol of formula units: 0
Formation energy from the elements, eV per atom: 0.229

A plane-wave DFT calculation with meta-GGA SCAN was carried out for Ba2ReIr at its PBEsol-relaxed geometry.

The structure in POSCAR format:
```
Ba2ReIr
1.0
7.534 0.000 0.000
0.000 7.534 0.000
0.000 0.000 7.534
Ba Re Ir
8 4 4
Cartesian
1.884 1.884 1.884 Ba
1.884 1.884 5.651 Ba
1.884 5.651 1.884 Ba
1.884 5.651 5.651 Ba
5.651 1.884 1.884 Ba
5.651 1.884 5.651 Ba
5.651 5.651 1.884 Ba
5.651 5.651 5.651 Ba
0.000 0.000 0.000 Re
0.000 3.767 3.767 Re
3.767 0.000 3.767 Re
3.767 3.767 0.000 Re
0.000 0.000 3.767 Ir
0.000 3.767 0.000 Ir
3.767 0.000 0.000 Ir
3.767 3.767 3.767 Ir
```

Energy above the most stable polymorph in this dataset, kJ/mol of formula units: 318
Formation energy from the elements, eV per atom: 1.282

A plane-wave DFT calculation with meta-GGA SCAN was carried out for AlTe2C at its PBEsol-relaxed geometry.

The structure in POSCAR format:
```
AlTe2C
1.0
5.406 0.000 0.000
0.000 5.406 0.000
0.000 0.000 13.169
Al Te C
4 8 4
Cartesian
0.000 0.000 0.000 Al
0.000 2.703 3.292 Al
2.703 0.000 9.877 Al
2.703 2.703 6.584 Al
1.035 1.352 8.231 Te
1.352 3.738 11.523 Te
1.352 4.371 4.938 Te
1.668 1.352 1.646 Te
3.738 4.055 1.646 Te
4.055 1.035 4.938 Te
4.055 1.668 11.523 Te
4.371 4.055 8.231 Te
0.000 0.000 6.584 C
0.000 2.703 9.877 C
2.703 0.000 3.292 C
2.703 2.703 0.000 C
```

Formation energy without anion corrections, meV per atom: 981

A plane-wave DFT calculation with meta-GGA SCAN was carried out for NaBOF2 at its PBEsol-relaxed geometry.

The structure in POSCAR format:
```
NaBOF2
1.0
5.929 -3.452 0.000
5.929 3.452 0.000
-3.746 0.000 8.524
Na B O F
6 6 6 12
Cartesian
2.965 1.726 0.000 Na
2.952 1.905 4.281 Na
3.286 1.905 8.505 Na
1.091 -1.726 4.262 Na
4.826 -1.905 0.019 Na
5.160 -1.905 4.243 Na
4.993 2.002 2.131 B
1.858 0.175 6.430 B
3.731 -0.175 2.168 B
4.381 0.175 6.356 B
6.254 -0.175 2.094 B
3.119 -2.002 6.393 B
3.780 1.254 2.177 O
3.119 0.850 6.393 O
6.206 1.254 2.085 O
1.906 -1.254 6.438 O
4.993 -0.850 2.131 O
4.332 -1.254 6.347 O
4.951 2.900 0.973 F
5.035 2.900 3.289 F
1.078 0.602 5.258 F
1.101 0.637 7.578 F
2.952 -0.602 0.996 F
2.975 -0.637 3.316 F
5.138 0.637 5.208 F
5.161 0.602 7.528 F
7.011 -0.637 0.946 F
7.034 -0.602 3.266 F
3.077 -2.900 5.235 F
3.162 -2.900 7.551 F
```

Formation energy without anion corrections, meV per atom: -2924

A plane-wave DFT calculation with meta-GGA SCAN was carried out for LaCS2 at its PBEsol-relaxed geometry.

The structure in POSCAR format:
```
LaCS2
1.0
4.210 0.000 0.000
-2.105 3.646 0.000
0.000 0.000 19.068
La C S
3 3 6
Cartesian
0.000 0.000 0.000 La
0.000 2.430 12.712 La
2.105 1.215 6.356 La
0.000 0.000 9.534 C
0.000 2.430 3.178 C
2.105 1.215 15.890 C
0.000 0.000 7.920 S
0.000 0.000 11.147 S
0.000 2.430 1.564 S
0.000 2.430 4.791 S
2.105 1.215 14.276 S
2.105 1.215 17.503 S
```

Formation energy without anion corrections, meV per atom: -142

| no. | E_tot (eV/atom) | density of states at the Fermi level (states/eV/atom) |
| --- | --- | --- |
| 1 | -32.552 | 0.548 |
| 2 | -27.063 | 0.890 |
| 3 | -18.901 | 0.561 |
| 4 | -32.248 | 1.142 |
| 5 | -20.257 | 0.845 |
| 6 | -56.972 | 0.976 |
| 7 | -24.676 | 0.629 |
| 8 | -70.158 | 1.044 |
| 9 | -54.042 | 0.650 |
| 10 | -22.108 | 0.475 |
| 11 | -7.915 | 0.000 |
| 12 | -18.257 | 0.540 |